1.
## EuSnHg2 (GGA-PBE)

Data for an optimized crystal structure of EuSnHg2.

Geometry as CIF:
```
data_EuSnHg2
_space_group_name_H-M_alt 'P 1'
_space_group_IT_number 1
_cell_length_a 3.9416
_cell_length_b 3.9416
_cell_length_c 7.0246
_cell_angle_alpha 90.00
_cell_angle_beta 90.00
_cell_angle_gamma 90.00
loop_
_space_group_symop_operation_xyz
'x,y,z'
loop_
_atom_site_label
_atom_site_type_symbol
_atom_site_fract_x
_atom_site_fract_y
_atom_site_fract_z
Hg1 Hg 0.0000 0.0000 0.7590
Hg2 Hg 0.0000 0.0000 0.2410
Sn1 Sn 0.5000 0.5000 0.0000
Eu1 Eu 0.5000 0.5000 0.5000
```

* ρ: 10.2 g/cm³
* spin magnetization: 7.10 μB/cell
* calculated formation energy: -0.349 eV/atom

2.
## Eu2SnHg (GGA-PBE)

Data for an optimized crystal structure of Eu2SnHg.

Geometry as CIF:
```
data_Eu2SnHg
_space_group_name_H-M_alt 'P 1'
_space_group_IT_number 1
_cell_length_a 3.9250
_cell_length_b 3.9250
_cell_length_c 9.9944
_cell_angle_alpha 78.68
_cell_angle_beta 78.68
_cell_angle_gamma 60.00
loop_
_space_group_symop_operation_xyz
'x,y,z'
loop_
_atom_site_label
_atom_site_type_symbol
_atom_site_fract_x
_atom_site_fract_y
_atom_site_fract_z
Sn1 Sn 0.5000 0.5000 0.5000
Eu1 Eu 0.7497 0.7497 0.7509
Eu2 Eu 0.2503 0.2503 0.2491
Hg1 Hg 0.0000 0.0000 0.0000
```

* ρ: 8.0 g/cm³
* spin magnetization: 14.85 μB/cell
* energy relative to the lowest polymorph listed for this composition: 1.01 eV per formula unit
* calculated formation energy: -0.415 eV/atom

3.
## EuSnHg (GGA-PBE)

Data for an optimized crystal structure of EuSnHg.

Geometry as CIF:
```
data_EuSnHg
_space_group_name_H-M_alt 'P 1'
_space_group_IT_number 1
_cell_length_a 3.7745
_cell_length_b 5.0482
_cell_length_c 5.0482
_cell_angle_alpha 120.00
_cell_angle_beta 90.00
_cell_angle_gamma 90.00
loop_
_space_group_symop_operation_xyz
'x,y,z'
loop_
_atom_site_label
_atom_site_type_symbol
_atom_site_fract_x
_atom_site_fract_y
_atom_site_fract_z
Sn1 Sn 0.1988 0.6667 0.3333
Eu1 Eu 0.6716 0.3333 0.6667
Hg1 Hg 0.1296 0.0000 0.0000
```

* ρ: 9.4 g/cm³
* spin magnetization: 7.24 μB/cell
* calculated formation energy: -0.502 eV/atom

4.
## SrEuSnHg (GGA-PBE)

Data for an optimized crystal structure of SrEuSnHg.

Geometry as CIF:
```
data_SrEuSnHg
_space_group_name_H-M_alt 'P 1'
_space_group_IT_number 1
_cell_length_a 5.6347
_cell_length_b 5.6347
_cell_length_c 5.6347
_cell_angle_alpha 60.00
_cell_angle_beta 60.00
_cell_angle_gamma 60.00
loop_
_space_group_symop_operation_xyz
'x,y,z'
loop_
_atom_site_label
_atom_site_type_symbol
_atom_site_fract_x
_atom_site_fract_y
_atom_site_fract_z
Sr1 Sr 0.5000 0.5000 0.5000
Eu1 Eu 0.0000 0.0000 0.0000
Hg1 Hg 0.7500 0.7500 0.7500
Sn1 Sn 0.2500 0.2500 0.2500
```

* ρ: 7.3 g/cm³
* spin magnetization: 7.04 μB/cell
* calculated formation energy: -0.656 eV/atom

5.
## TbEuSnHg (GGA-PBE)

Data for an optimized crystal structure of TbEuSnHg.

Geometry as CIF:
```
data_TbEuSnHg
_space_group_name_H-M_alt 'P 1'
_space_group_IT_number 1
_cell_length_a 5.4148
_cell_length_b 5.4148
_cell_length_c 5.4148
_cell_angle_alpha 60.00
_cell_angle_beta 60.00
_cell_angle_gamma 60.00
loop_
_space_group_symop_operation_xyz
'x,y,z'
loop_
_atom_site_label
_atom_site_type_symbol
_atom_site_fract_x
_atom_site_fract_y
_atom_site_fract_z
Hg1 Hg 0.7500 0.7500 0.7500
Eu1 Eu 0.0000 0.0000 0.0000
Sn1 Sn 0.2500 0.2500 0.2500
Tb1 Tb 0.5000 0.5000 0.5000
```

* ρ: 9.3 g/cm³
* spin magnetization: 7.60 μB/cell
* calculated formation energy: -0.586 eV/atom

6.
## EuTlSnHg (GGA-PBE)

Data for an optimized crystal structure of EuTlSnHg.

Geometry as CIF:
```
data_EuTlSnHg
_space_group_name_H-M_alt 'P 1'
_space_group_IT_number 1
_cell_length_a 5.4162
_cell_length_b 5.4162
_cell_length_c 5.4162
_cell_angle_alpha 60.00
_cell_angle_beta 60.00
_cell_angle_gamma 60.00
loop_
_space_group_symop_operation_xyz
'x,y,z'
loop_
_atom_site_label
_atom_site_type_symbol
_atom_site_fract_x
_atom_site_fract_y
_atom_site_fract_z
Tl1 Tl 0.2500 0.2500 0.2500
Hg1 Hg 0.7500 0.7500 0.7500
Sn1 Sn 0.5000 0.5000 0.5000
Eu1 Eu 0.0000 0.0000 0.0000
```

* ρ: 10.0 g/cm³
* spin magnetization: 6.98 μB/cell
* calculated formation energy: -0.324 eV/atom

7.
## EuTmSnHg (GGA-PBE)

Data for an optimized crystal structure of EuTmSnHg.

Geometry as CIF:
```
data_EuTmSnHg
_space_group_name_H-M_alt 'P 1'
_space_group_IT_number 1
_cell_length_a 5.3723
_cell_length_b 5.3723
_cell_length_c 5.3723
_cell_angle_alpha 60.00
_cell_angle_beta 60.00
_cell_angle_gamma 60.00
loop_
_space_group_symop_operation_xyz
'x,y,z'
loop_
_atom_site_label
_atom_site_type_symbol
_atom_site_fract_x
_atom_site_fract_y
_atom_site_fract_z
Eu1 Eu 0.0000 0.0000 0.0000
Hg1 Hg 0.7500 0.7500 0.7500
Sn1 Sn 0.2500 0.2500 0.2500
Tm1 Tm 0.5000 0.5000 0.5000
```

* ρ: 9.7 g/cm³
* spin magnetization: 7.52 μB/cell
* calculated formation energy: -0.556 eV/atom

8.
## EuZnSnHg (GGA-PBE)

Data for an optimized crystal structure of EuZnSnHg.

Geometry as CIF:
```
data_EuZnSnHg
_space_group_name_H-M_alt 'P 1'
_space_group_IT_number 1
_cell_length_a 5.1936
_cell_length_b 5.1936
_cell_length_c 5.1936
_cell_angle_alpha 60.00
_cell_angle_beta 60.00
_cell_angle_gamma 60.00
loop_
_space_group_symop_operation_xyz
'x,y,z'
loop_
_atom_site_label
_atom_site_type_symbol
_atom_site_fract_x
_atom_site_fract_y
_atom_site_fract_z
Sn1 Sn 0.2500 0.2500 0.2500
Zn1 Zn 0.5000 0.5000 0.5000
Eu1 Eu 0.7500 0.7500 0.7500
Hg1 Hg 0.0000 0.0000 0.0000
```

* ρ: 9.0 g/cm³
* spin magnetization: 7.09 μB/cell
* calculated formation energy: -0.332 eV/atom

| no. | V (A^3/atom) |
| --- | --- |
| 1 | 27.3 |
| 2 | 32.5 |
| 3 | 27.8 |
| 4 | 31.6 |
| 5 | 28.1 |
| 6 | 28.1 |
| 7 | 27.4 |
| 8 | 24.8 |